Record 1
# PmSm4Dy3 (PBE, optimized geometry)
# - ΔE_f: 0.205 eV per atom
# - Crystal system: orthorhombic
data_PmSm4Dy3
_chemical_formula_sum 'Pm2 Sm8 Dy6'
_space_group_name_H-M_alt 'C m m m'
_space_group_IT_number 65
_space_group_name_Hall '-C 2 2'
_cell_length_a 5.7184
_cell_length_b 26.2164
_cell_length_c 3.6008
_cell_angle_alpha 90.00
_cell_angle_beta 90.00
_cell_angle_gamma 90.00
loop_
_atom_site_label
_atom_site_fract_x
_atom_site_fract_y
_atom_site_fract_z
Pm1 0.0000 0.0000 0.0000
Sm1 0.0000 0.1046 0.5000
Sm2 0.0000 0.2239 0.5000
Dy1 0.0000 0.3471 0.0000
Dy2 0.0000 0.5000 0.5000


Record 2
# ThGa6Cu6 (PBE, optimized geometry)
# - ΔE_f: -0.260 eV per atom
# - Crystal system: orthorhombic
data_ThGa6Cu6
_chemical_formula_sum 'Th2 Ga12 Cu12'
_space_group_name_H-M_alt 'I m m m'
_space_group_IT_number 71
_space_group_name_Hall '-I 2 2'
_cell_length_a 5.1759
_cell_length_b 8.6320
_cell_length_c 8.8962
_cell_angle_alpha 90.00
_cell_angle_beta 90.00
_cell_angle_gamma 90.00
loop_
_atom_site_label
_atom_site_fract_x
_atom_site_fract_y
_atom_site_fract_z
Th1 0.0000 0.0000 0.0000
Ga1 0.0000 0.0000 0.3503
Ga2 0.0000 0.3510 0.0000
Ga3 0.0000 0.5000 0.3016
Cu1 0.0000 0.2673 0.5000
Cu2 0.2500 0.2500 0.2500


Record 3
# ThBOsN (PBE, optimized geometry)
# - E_form (uncorrected): -0.943 eV per atom
# - Crystal system: tetragonal
data_ThBOsN
_chemical_formula_sum 'Th2 B2 Os2 N2'
_space_group_name_H-M_alt 'P 4/n m m'
_space_group_IT_number 129
_cell_length_a 3.8197
_cell_length_b 3.8197
_cell_length_c 7.6987
_cell_angle_alpha 90.00
_cell_angle_beta 90.00
_cell_angle_gamma 90.00
loop_
_space_group_symop_operation_xyz
'x,y,z'
'-x,-y,-z'
'-y+1/2,x,z'
'y+1/2,-x,-z'
'-x+1/2,-y+1/2,z'
'x+1/2,y+1/2,-z'
'y,-x+1/2,z'
'-y,x+1/2,-z'
'x+1/2,-y,-z'
'-x+1/2,y,z'
'-y,-x,-z'
'y,x,z'
'-x,y+1/2,-z'
'x,-y+1/2,z'
'y+1/2,x+1/2,-z'
'-y+1/2,-x+1/2,z'
loop_
_atom_site_label
_atom_site_fract_x
_atom_site_fract_y
_atom_site_fract_z
Th1 0.2500 0.2500 0.1742
B1 0.2500 0.2500 0.6536
Os1 0.2500 0.7500 0.5000
N1 0.2500 0.2500 0.8570


Record 4
# TlAgSeO5 (PBE, optimized geometry)
# - E_form (uncorrected): -0.538 eV per atom
# - Crystal system: monoclinic
data_TlAgSeO5
_chemical_formula_sum 'Tl4 Ag4 Se4 O20'
_space_group_name_H-M_alt 'C 1 2/c 1'
_space_group_IT_number 15
_space_group_name_Hall '-C 2yc'
_cell_length_a 7.7534
_cell_length_b 9.6701
_cell_length_c 7.3759
_cell_angle_alpha 90.00
_cell_angle_beta 113.85
_cell_angle_gamma 90.00
loop_
_atom_site_label
_atom_site_fract_x
_atom_site_fract_y
_atom_site_fract_z
Tl1 0.0000 0.0000 0.0000
Ag1 0.0000 0.3295 0.2500
Se1 0.0000 0.3382 0.7500
O1 0.0000 0.0968 0.2500
O2 0.0987 0.2383 0.6307
O3 0.1610 0.4440 0.9138


Record 5
# GaSbAu (PBE, optimized geometry)
# - E_form (uncorrected): -0.075 eV per atom
# - Crystal system: triclinic
data_GaSbAu
_chemical_formula_sum 'Ga2 Sb2 Au2'
_space_group_name_H-M_alt 'P 1'
_space_group_IT_number 1
_space_group_name_Hall 'P 1'
_cell_length_a 4.2998
_cell_length_b 5.0579
_cell_length_c 7.1557
_cell_angle_alpha 73.07
_cell_angle_beta 72.91
_cell_angle_gamma 89.43
loop_
_atom_site_label
_atom_site_fract_x
_atom_site_fract_y
_atom_site_fract_z
Ga1 0.0000 0.0000 0.0000
Ga2 0.4602 0.4651 0.0995
Sb1 0.0703 0.2331 0.5482
Sb2 0.6780 0.7353 0.5519
Au1 0.0679 0.5571 0.8667
Au2 0.3821 0.9082 0.2322


Record 6
# Th3B2OsRh9 (PBE, optimized geometry)
# - ΔE_f: -0.582 eV per atom
# - Crystal system: trigonal
data_Th3B2OsRh9
_chemical_formula_sum 'Th3 B2 Os1 Rh9'
_space_group_name_H-M_alt 'P -3 m 1'
_space_group_IT_number 164
_space_group_name_Hall '-P 3 2"'
_cell_length_a 5.8973
_cell_length_b 5.8973
_cell_length_c 8.5607
_cell_angle_alpha 90.00
_cell_angle_beta 90.00
_cell_angle_gamma 120.00
loop_
_atom_site_label
_atom_site_fract_x
_atom_site_fract_y
_atom_site_fract_z
Th1 0.0000 0.0000 0.0000
Th2 0.3333 0.6667 0.6413
B1 0.3333 0.6667 0.1409
Os1 0.0000 0.0000 0.5000
Rh1 0.0000 0.5000 0.0000
Rh2 0.1706 0.3413 0.2895


Record 7
# LaAs3N (PBE, optimized geometry)
# - E_form (uncorrected): 1.608 eV per atom
# - Crystal system: cubic
data_LaAs3N
_chemical_formula_sum 'La1 As3 N1'
_space_group_name_H-M_alt 'P m -3 m'
_space_group_IT_number 221
_space_group_name_Hall '-P 4 2 3'
_cell_length_a 5.7834
_cell_length_b 5.7834
_cell_length_c 5.7834
_cell_angle_alpha 90.00
_cell_angle_beta 90.00
_cell_angle_gamma 90.00
loop_
_atom_site_label
_atom_site_fract_x
_atom_site_fract_y
_atom_site_fract_z
La1 0.0000 0.0000 0.0000
As1 0.0000 0.0000 0.5000
N1 0.5000 0.5000 0.5000


Record 8
# Sm3TePdCl (PBE, optimized geometry)
# - E_form (uncorrected): -1.081 eV per atom
# - Crystal system: monoclinic
data_Sm3TePdCl
_chemical_formula_sum 'Sm6 Te2 Pd2 Cl2'
_space_group_name_H-M_alt 'P 1 21/m 1'
_space_group_IT_number 11
_space_group_name_Hall '-P 2yb'
_cell_length_a 8.3485
_cell_length_b 4.2415
_cell_length_c 9.7104
_cell_angle_alpha 90.00
_cell_angle_beta 104.28
_cell_angle_gamma 90.00
loop_
_atom_site_label
_atom_site_fract_x
_atom_site_fract_y
_atom_site_fract_z
Sm1 0.0586 0.2500 0.3393
Sm2 0.2131 0.2500 0.9786
Sm3 0.3968 0.7500 0.6105
Te1 0.3042 0.7500 0.2504
Pd1 0.1690 0.2500 0.6446
Cl1 0.3998 0.7500 0.8965


Record 9
# TaBe2Re (PBE, optimized geometry)
# - ΔE_f: -0.382 eV per atom
# - Crystal system: orthorhombic
data_TaBe2Re
_chemical_formula_sum 'Ta2 Be4 Re2'
_space_group_name_H-M_alt 'A m m 2'
_space_group_IT_number 38
_space_group_name_Hall 'A 2 -2'
_cell_length_a 3.2966
_cell_length_b 3.2154
_cell_length_c 8.9382
_cell_angle_alpha 90.00
_cell_angle_beta 90.00
_cell_angle_gamma 90.00
loop_
_atom_site_label
_atom_site_fract_x
_atom_site_fract_y
_atom_site_fract_z
Ta1 0.0000 0.0000 0.0000
Be1 0.0000 0.0000 0.7255
Be2 0.5000 0.0000 0.5945
Re1 0.5000 0.0000 0.3083


Record 10
# ZnRu2Au (PBE, optimized geometry)
# - ΔE_f: 0.367 eV per atom
# - Crystal system: orthorhombic
data_ZnRu2Au
_chemical_formula_sum 'Zn2 Ru4 Au2'
_space_group_name_H-M_alt 'C m m m'
_space_group_IT_number 65
_space_group_name_Hall '-C 2 2'
_cell_length_a 2.8238
_cell_length_b 4.6686
_cell_length_c 9.3018
_cell_angle_alpha 90.00
_cell_angle_beta 90.00
_cell_angle_gamma 90.00
loop_
_atom_site_label
_atom_site_fract_x
_atom_site_fract_y
_atom_site_fract_z
Zn1 0.0000 0.0000 0.0000
Ru1 0.0000 0.5000 0.2350
Au1 0.0000 0.0000 0.5000


Record 11
# Ba8PPb3I4 (PBE, optimized geometry)
# - E_form (uncorrected): -1.050 eV per atom
# - Crystal system: trigonal
data_Ba8PPb3I4
_chemical_formula_sum 'Ba24 P3 Pb9 I12'
_space_group_name_H-M_alt 'R -3 m'
_space_group_IT_number 166
_space_group_name_Hall '-R 3 2"'
_cell_length_a 9.8510
_cell_length_b 9.8510
_cell_length_c 26.4583
_cell_angle_alpha 90.00
_cell_angle_beta 90.00
_cell_angle_gamma 120.00
loop_
_atom_site_label
_atom_site_fract_x
_atom_site_fract_y
_atom_site_fract_z
Ba1 0.0000 0.0000 0.2465
Ba2 0.0225 0.5112 0.2380
P1 0.0000 0.0000 0.5000
Pb1 0.0000 0.5000 0.5000
I1 0.0000 0.0000 0.0000
I2 0.0000 0.5000 0.0000


Record 12
# VAgRh3 (PBE, optimized geometry)
# - ΔE_f: 0.651 eV per atom
# - Crystal system: cubic
data_VAgRh3
_chemical_formula_sum 'V1 Ag1 Rh3'
_space_group_name_H-M_alt 'P m -3 m'
_space_group_IT_number 221
_space_group_name_Hall '-P 4 2 3'
_cell_length_a 4.4810
_cell_length_b 4.4810
_cell_length_c 4.4810
_cell_angle_alpha 90.00
_cell_angle_beta 90.00
_cell_angle_gamma 90.00
loop_
_atom_site_label
_atom_site_fract_x
_atom_site_fract_y
_atom_site_fract_z
V1 0.0000 0.0000 0.0000
Ag1 0.5000 0.5000 0.5000
Rh1 0.0000 0.0000 0.5000